Entry from Alexandria via LeMat-Bulk: a geometry-optimized TmScPa2C4 structure (GGA-PBE).

```
TmScPa2C4
1.0
-3.5359 3.5483 5.0142
3.5359 -3.5483 5.0142
3.5359 3.5483 -5.0142
Tm Sc Pa C
2 2 4 8
Direct
0.5000 0.0000 0.0000
0.5000 0.5000 0.5000
0.0000 0.0000 0.0000
0.5000 0.0000 0.5000
0.0000 0.0000 0.5000
0.0000 0.5000 0.0000
0.0000 0.5000 0.5000
0.5000 0.5000 0.0000
0.2358 0.7466 0.4892
0.2427 0.2534 0.9892
0.2452 0.2511 0.5059
0.2452 0.7393 0.9941
0.7548 0.2607 0.0059
0.7548 0.7489 0.4941
0.7573 0.7466 0.0108
0.7642 0.2534 0.5108
```

As for the crystal system: orthorhombic. Its volume is 15.7 Å³ per atom. For the formation energy, the calculation gives -0.429 eV per atom.